The following is a DFT calculation (PBE-GGA) of an optimized crystal structure of La2TmP2Br2.

Properties
The calculation puts the spin magnetization at 1.77 μB/cell. The calculation puts the volume at 30.372 Å³/atom. For the total energy, the calculation gives -38.65 eV/f.u. The calculation puts the density of states at the Fermi level at 3.16 states/eV/f.u.

abc: 5.227 5.227 15.564
angles: 90.00 90.00 90.00
Space group I4/mmm (No. 139)
One atom of each set of equivalent atoms:
La  0.000  0.000  0.105
Tm  0.000  0.000  0.500
P  0.000  0.500  0.000
Br  0.000  0.000  0.309

The following is a DFT calculation (PBE-GGA) of an optimized crystal structure of La6ZnP2Br3.

Properties
The calculation puts the spin magnetization at 0.00 μB/cell. The calculation puts the volume at 29.402 Å³/atom. For the total energy, the calculation gives -62.35 eV/f.u. The calculation puts the density of states at the Fermi level at 8.04 states/eV/f.u.

abc: 19.310 4.239 8.965
angles: 90.00 105.92 90.00
Space group C2/m (No. 12)
One atom of each set of equivalent atoms:
La  0.010  0.000  0.243
La  0.163  0.500  0.108
La  0.175  0.500  0.558
Zn  0.000  0.500  0.000
P  0.169  0.000  0.333
Br  0.000  0.500  0.500
Br  0.165  0.000  0.829

The following is a DFT calculation (PBE-GGA) of an optimized crystal structure of LaZnPBr.

Properties
The calculation puts the spin magnetization at 0.00 μB/cell. The calculation puts the volume at 26.981 Å³/atom. For the total energy, the calculation gives -17.81 eV/f.u. The calculation puts the density of states at the Fermi level at 2.45 states/eV/f.u.

abc: 4.2102 4.2102 42.1817
angles: 90.00 90.00 120.00
Space group R-3m (No. 166, hexagonal axes)
One atom of each set of equivalent atoms:
La  0.0000  0.0000  0.0778
Zn  0.0000  0.0000  0.3102
P  0.0000  0.0000  0.3687
Br  0.0000  0.0000  0.2109

The following is a DFT calculation (PBE-GGA) of an optimized crystal structure of La8ZnP3Br4.

Properties
The calculation puts the spin magnetization at 0.00 μB/cell. The calculation puts the volume at 29.232 Å³/atom. For the total energy, the calculation gives -85.56 eV/f.u. The calculation puts the density of states at the Fermi level at 12.91 states/eV/f.u.

abc: 8.5508 8.5508 22.1599
angles: 90.00 90.00 120.00
Space group R-3m (No. 166, hexagonal axes)
One atom of each set of equivalent atoms:
La  0.0000  0.0000  0.2361
La  0.0090  0.5045  0.7611
Zn  0.0000  0.0000  0.5000
P  0.0000  0.5000  0.5000
Br  0.0000  0.0000  0.0000
Br  0.0000  0.5000  0.0000

The following is a DFT calculation (PBE-GGA) of an optimized crystal structure of LaPaBr2.

Properties
The calculation puts the spin magnetization at 5.81 μB/cell. The calculation puts the volume at 29.392 Å³/atom. For the total energy, the calculation gives -20.85 eV/f.u. The calculation puts the density of states at the Fermi level at 6.14 states/eV/f.u.

abc: 3.5957 3.5957 31.5010
angles: 90.00 90.00 120.00
Space group R-3m (No. 166, hexagonal axes)
One atom of each set of equivalent atoms:
La  0.0000  0.0000  0.0000
Pa  0.0000  0.0000  0.5000
Br  0.0000  0.0000  0.4058

The following is a DFT calculation (PBE-GGA) of an optimized crystal structure of La2PbBr.

Properties
The calculation puts the spin magnetization at 0.00 μB/cell. The calculation puts the volume at 32.247 Å³/atom. For the total energy, the calculation gives -18.78 eV/f.u. The calculation puts the density of states at the Fermi level at 3.77 states/eV/f.u.

abc: 5.341 3.854 12.533
angles: 90.00 90.00 90.00
Space group Amm2 (No. 38)
One atom of each set of equivalent atoms:
La  0.000  0.000  0.000
La  0.500  0.000  0.262
Pb  0.500  0.000  0.530
Br  0.000  0.000  0.760

The following is a DFT calculation (PBE-GGA) of an optimized crystal structure of LaPbBr2.

Properties
The calculation puts the spin magnetization at 0.00 μB/cell. The calculation puts the volume at 33.282 Å³/atom. For the total energy, the calculation gives -16.42 eV/f.u. The calculation puts the density of states at the Fermi level at 2.61 states/eV/f.u.

abc: 3.7963 3.7963 31.9988
angles: 90.00 90.00 120.00
Space group R-3m (No. 166, hexagonal axes)
One atom of each set of equivalent atoms:
La  0.0000  0.0000  0.0000
Pb  0.0000  0.0000  0.5000
Br  0.0000  0.0000  0.4002

The following is a DFT calculation (PBE-GGA) of an optimized crystal structure of La4Pb2Br3.

Properties
The calculation puts the spin magnetization at 0.00 μB/cell. The calculation puts the volume at 36.265 Å³/atom. For the total energy, the calculation gives -43.00 eV/f.u. The calculation puts the density of states at the Fermi level at 2.84 states/eV/f.u.

abc: 8.012 4.626 17.614
angles: 90.00 90.08 90.00
Space group C2/m (No. 12)
One atom of each set of equivalent atoms:
La  0.001  0.000  0.307
La  0.166  0.500  0.899
Pb  0.167  0.500  0.203
Br  0.000  0.000  0.000
Br  0.165  0.500  0.599

The following is a DFT calculation (PBE-GGA) of an optimized crystal structure of La7PbBr12.

Properties
The calculation puts the spin magnetization at 4.29 μB/cell. The calculation puts the volume at 36.476 Å³/atom. For the total energy, the calculation gives -91.59 eV/f.u. The calculation puts the density of states at the Fermi level at 6.60 states/eV/f.u.

abc: 16.1216 16.1216 9.7232
angles: 90.00 90.00 120.00
Space group R-3 (No. 148, hexagonal axes)
One atom of each set of equivalent atoms:
La  0.0000  0.0000  0.0000
La  0.0438  0.8725  0.3014
Pb  0.0000  0.0000  0.5000
Br  0.0389  0.4520  0.1636
Br  0.0486  0.8584  0.8515

The following is a DFT calculation (PBE-GGA) of an optimized crystal structure of La2PbBr.

Properties
The calculation puts the spin magnetization at 0.00 μB/cell. The calculation puts the volume at 33.241 Å³/atom. For the total energy, the calculation gives -19.23 eV/f.u. The calculation puts the density of states at the Fermi level at 2.96 states/eV/f.u.

abc: 4.569 6.386 4.557
angles: 90.00 90.00 90.00
Space group Pmm2 (No. 25)
One atom of each set of equivalent atoms:
La  0.000  0.000  0.000
La  0.500  0.500  0.499
Pb  0.500  0.000  0.500
Br  0.000  0.500  0.999

The following is a DFT calculation (PBE-GGA) of an optimized crystal structure of La2PbBr.

Properties
The calculation puts the spin magnetization at 1.58 μB/cell. The calculation puts the volume at 32.547 Å³/atom. For the total energy, the calculation gives -18.96 eV/f.u. The calculation puts the density of states at the Fermi level at 1.98 states/eV/f.u.

abc: 4.849 4.849 11.074
angles: 90.00 90.00 90.00
Space group P4/nmm (No. 129, origin choice 2)
One atom of each set of equivalent atoms:
La  0.250  0.250  0.184
La  0.250  0.750  0.500
Pb  0.250  0.250  0.711
Br  0.250  0.750  0.000

The following is a DFT calculation (PBE-GGA) of an optimized crystal structure of La2PbBr.

Properties
The calculation puts the spin magnetization at 1.79 μB/cell. The calculation puts the volume at 30.538 Å³/atom. For the total energy, the calculation gives -16.37 eV/f.u. The calculation puts the density of states at the Fermi level at 4.10 states/eV/f.u.

abc: 7.876 7.876 7.876
angles: 90.00 90.00 90.00
Space group F-43m (No. 216)
One atom of each set of equivalent atoms:
La  0.000  0.000  0.000
La  0.250  0.250  0.250
Pb  0.000  0.000  0.500
Br  0.250  0.250  0.750